This record from Alexandria describes an optimized crystal structure of CaHo2CoO5. The functional is PBE+U.

```
CaHo2CoO5
1.0
5.514 0.000 0.000
0.000 6.399 0.000
0.000 0.000 6.399
O Ho Co Ca
10 4 2 2
Direct
0.759 0.142 0.642
0.759 0.858 0.358
0.241 0.142 0.642
0.241 0.858 0.358
0.241 0.642 0.858
0.500 0.500 0.500
0.759 0.642 0.858
0.241 0.358 0.142
0.759 0.358 0.142
0.500 0.000 0.000
0.500 0.327 0.827
0.500 0.173 0.327
0.500 0.827 0.673
0.500 0.673 0.173
0.000 0.000 0.500
0.000 0.500 0.000
0.000 0.000 0.000
0.000 0.500 0.500
```

Results
Energy = -7.244 eV per atom
Total moment = 1.0 μB/f.u.
Calculated volume = 225.76 Å³ per cell